VASP calculation (PBE) on a relaxed DyTlO crystal.

## Properties
The calculation puts the volume at 22.40 Å³/atom. The calculation puts the density at 9459 kg/m3. The calculation puts the density of states at the Fermi level at 0.385 states/eV per atom. Its crystal system is trigonal. The uncorrected formation energy comes out at -1.99 eV/atom.

a = 3.7306 Å, b = 3.7306 Å, c = 11.1532 Å
α = 90.00°, β = 90.00°, γ = 120.00°
Space group P-3m1 (No. 164)
One atom of each set of equivalent atoms:
Dy (0.3333, 0.6667, 0.3685) (multiplicity 2)
Tl (0.0000, 0.0000, 0.1304) (multiplicity 2)
O (0.3333, 0.6667, 0.5792) (multiplicity 2)